Material: Ge2BPN
Method: DFT, PBE
State: relaxed

The structure in CIF format:
```
data_Ge2BPN
_cell_length_a 4.622
_cell_length_b 4.622
_cell_length_c 3.566
_cell_angle_alpha 90.00
_cell_angle_beta 90.00
_cell_angle_gamma 90.00
_symmetry_space_group_name_H-M 'P 1'
_symmetry_Int_Tables_number 1
loop_
_symmetry_equiv_pos_as_xyz
'x,y,z'
loop_
_atom_site_label
_atom_site_fract_x
_atom_site_fract_y
_atom_site_fract_z
P1 0.000 0.000 0.500
N1 0.000 0.000 0.000
Ge1 0.000 0.500 0.000
B1 0.500 0.500 0.500
Ge2 0.500 0.000 0.000
```

Properties
* uncorrected energy: -4.63 eV/atom
* space-group type: P4/mmm, No. 123
* uncorrected formation energy: 1.30 eV/atom

***

Material: Pr3GeB2N6
Method: DFT, PBE
State: relaxed

The structure in CIF format:
```
data_Pr3GeB2N6
_cell_length_a 5.378
_cell_length_b 5.378
_cell_length_c 6.443
_cell_angle_alpha 90.00
_cell_angle_beta 90.00
_cell_angle_gamma 120.00
_symmetry_space_group_name_H-M 'P 1'
_symmetry_Int_Tables_number 1
loop_
_symmetry_equiv_pos_as_xyz
'x,y,z'
loop_
_atom_site_label
_atom_site_fract_x
_atom_site_fract_y
_atom_site_fract_z
Pr1 0.667 0.333 0.332
Ge1 0.000 0.000 0.500
N1 0.824 0.648 0.707
N2 0.352 0.176 0.707
Pr2 0.000 0.000 0.000
N3 0.824 0.176 0.707
B1 0.667 0.333 0.728
N4 0.176 0.824 0.293
B2 0.333 0.667 0.272
Pr3 0.333 0.667 0.668
N5 0.176 0.352 0.293
N6 0.648 0.824 0.293
```

Properties
* uncorrected energy: -7.63 eV/atom
* space-group type: P-3m1, No. 164
* uncorrected formation energy: -0.77 eV/atom

***

Material: Ge2BPtN
Method: DFT, PBE
State: relaxed

The structure in CIF format:
```
data_Ge2BPtN
_cell_length_a 4.829
_cell_length_b 3.963
_cell_length_c 4.829
_cell_angle_alpha 90.00
_cell_angle_beta 90.00
_cell_angle_gamma 90.00
_symmetry_space_group_name_H-M 'P 1'
_symmetry_Int_Tables_number 1
loop_
_symmetry_equiv_pos_as_xyz
'x,y,z'
loop_
_atom_site_label
_atom_site_fract_x
_atom_site_fract_y
_atom_site_fract_z
Ge1 0.000 0.000 0.500
Pt1 0.000 0.000 0.000
Ge2 0.500 0.000 0.000
B1 0.000 0.500 0.000
N1 0.500 0.500 0.500
```

Properties
* uncorrected energy: -4.73 eV/atom
* space-group type: P4/mmm, No. 123
* uncorrected formation energy: 1.33 eV/atom

***

Material: GeBS2N
Method: DFT, PBE
State: relaxed

The structure in CIF format:
```
data_GeBS2N
_cell_length_a 4.782
_cell_length_b 4.782
_cell_length_c 3.661
_cell_angle_alpha 90.00
_cell_angle_beta 90.00
_cell_angle_gamma 90.00
_symmetry_space_group_name_H-M 'P 1'
_symmetry_Int_Tables_number 1
loop_
_symmetry_equiv_pos_as_xyz
'x,y,z'
loop_
_atom_site_label
_atom_site_fract_x
_atom_site_fract_y
_atom_site_fract_z
B1 0.500 0.500 0.500
Ge1 0.000 0.000 0.000
S1 0.500 0.000 0.000
S2 0.000 0.500 0.000
N1 0.000 0.000 0.500
```

Properties
* uncorrected energy: -3.99 eV/atom
* space-group type: P4/mmm, No. 123
* uncorrected formation energy: 1.58 eV/atom

***

Material: GeBS2N
Method: DFT, PBE
State: relaxed

The structure in CIF format:
```
data_GeBS2N
_cell_length_a 5.349
_cell_length_b 5.349
_cell_length_c 2.666
_cell_angle_alpha 90.00
_cell_angle_beta 90.00
_cell_angle_gamma 90.00
_symmetry_space_group_name_H-M 'P 1'
_symmetry_Int_Tables_number 1
loop_
_symmetry_equiv_pos_as_xyz
'x,y,z'
loop_
_atom_site_label
_atom_site_fract_x
_atom_site_fract_y
_atom_site_fract_z
Ge1 0.500 0.500 0.500
S1 0.000 0.500 0.000
N1 0.000 0.000 0.500
B1 0.000 0.000 0.000
S2 0.500 0.000 0.000
```

Properties
* uncorrected energy: -5.25 eV/atom
* space-group type: P4/mmm, No. 123
* uncorrected formation energy: 0.33 eV/atom

***

Material: GeBSeN2
Method: DFT, PBE
State: relaxed

The structure in CIF format:
```
data_GeBSeN2
_cell_length_a 3.536
_cell_length_b 3.536
_cell_length_c 7.126
_cell_angle_alpha 90.00
_cell_angle_beta 90.00
_cell_angle_gamma 90.00
_symmetry_space_group_name_H-M 'P 1'
_symmetry_Int_Tables_number 1
loop_
_symmetry_equiv_pos_as_xyz
'x,y,z'
loop_
_atom_site_label
_atom_site_fract_x
_atom_site_fract_y
_atom_site_fract_z
N1 0.500 0.000 0.000
N2 0.000 0.500 0.000
Ge1 0.000 0.000 0.000
Se1 0.000 0.000 0.500
B1 0.500 0.500 0.500
```

Properties
* uncorrected energy: -4.59 eV/atom
* space-group type: P4/mmm, No. 123
* uncorrected formation energy: 1.69 eV/atom